Record 1
Entry from the Open Quantum Materials Database: crystalline Fe2Re2Ge3 at its relaxed geometry (PBE).

Results
space-group type = R3m
energy = -52.5 eV for the cell shown

The structure in POSCAR format:
```
Fe2Re2Ge3
1.0
2.070 1.195 6.896
-2.070 1.195 6.896
0.000 -2.390 6.896
Fe Re Ge
2 2 3
direct
0.000 0.000 0.000 Fe
0.494 0.494 0.494 Fe
0.251 0.251 0.251 Re
0.753 0.753 0.753 Re
0.127 0.127 0.127 Ge
0.370 0.370 0.370 Ge
0.881 0.881 0.881 Ge
```

***

Record 2
Entry from the Open Quantum Materials Database: crystalline NaThTe3Au at its relaxed geometry (PBE).

Results
space-group type = Cmcm
energy = -53.9 eV for the cell shown

The structure in POSCAR format:
```
NaThTe3Au
1.0
2.192 -7.443 0.000
2.192 7.443 0.000
0.000 0.000 11.480
Na Th Te Au
2 2 6 2
direct
0.226 0.774 0.750 Na
0.774 0.226 0.250 Na
0.000 0.000 0.000 Th
0.000 0.000 0.500 Th
0.092 0.908 0.250 Te
0.356 0.644 0.060 Te
0.356 0.644 0.440 Te
0.644 0.356 0.560 Te
0.644 0.356 0.940 Te
0.908 0.092 0.750 Te
0.472 0.528 0.250 Au
0.528 0.472 0.750 Au
```

***

Record 3
Entry from the Open Quantum Materials Database: crystalline Nb2SiB2 at its relaxed geometry (PBE).

Results
energy above the lowest structure with this stoichiometry = 0.0 kJ/mol of atoms
space-group type = Cmmm

The structure in POSCAR format:
```
Nb2SiB2
1.0
3.159 0.000 0.000
0.000 11.189 0.000
0.000 0.000 3.339
Nb Si B
4 2 4
direct
0.000 0.134 0.000 Nb
0.000 0.866 0.000 Nb
0.500 0.366 0.000 Nb
0.500 0.634 0.000 Nb
0.000 0.500 0.500 Si
0.500 0.000 0.500 Si
0.000 0.289 0.500 B
0.000 0.711 0.500 B
0.500 0.211 0.500 B
0.500 0.789 0.500 B
```

***

Record 4
Entry from the Open Quantum Materials Database: crystalline Li2CdPd at its relaxed geometry (PBE).

Results
space-group type = Pnma
energy = -44.8 eV for the cell shown

The structure in POSCAR format:
```
Li2CdPd
1.0
7.210 0.000 0.000
0.000 7.157 0.000
0.000 0.000 5.211
Li Cd Pd
8 4 4
direct
0.190 0.055 0.099 Li
0.190 0.445 0.099 Li
0.310 0.555 0.599 Li
0.310 0.945 0.599 Li
0.690 0.055 0.401 Li
0.690 0.445 0.401 Li
0.810 0.555 0.901 Li
0.810 0.945 0.901 Li
0.035 0.250 0.606 Cd
0.465 0.750 0.106 Cd
0.535 0.250 0.894 Cd
0.965 0.750 0.394 Cd
0.104 0.750 0.894 Pd
0.396 0.250 0.394 Pd
0.604 0.750 0.606 Pd
0.896 0.250 0.106 Pd
```

***

Record 5
Entry from the Open Quantum Materials Database: crystalline HoHf2Zn3CuAu2 at its relaxed geometry (PBE).

Results
DFT formation energy = -408 meV per atom
space-group type = Amm2

The structure in POSCAR format:
```
HoHf2Zn3CuAu2
1.0
3.692 0.000 0.000
0.000 6.231 3.554
0.000 -6.231 3.554
Ho Hf Zn Cu Au
1 2 3 1 2
direct
0.000 0.000 0.000 Ho
0.000 0.401 0.800 Hf
0.000 0.800 0.401 Hf
0.500 0.160 0.405 Zn
0.500 0.405 0.160 Zn
0.500 0.646 0.646 Zn
0.000 0.412 0.412 Cu
0.500 0.070 0.726 Au
0.500 0.726 0.070 Au
```

***

Record 6
Entry from the Open Quantum Materials Database: crystalline U2Pa2Se7 at its relaxed geometry (PBE).

Results
space-group type = Imm2
energy = -79.9 eV for the cell shown

The structure in POSCAR format:
```
U2Pa2Se7
1.0
-2.008 7.379 4.501
2.008 -7.379 4.501
2.008 7.379 -4.501
U Pa Se
2 2 7
direct
0.000 0.000 0.000 U
0.556 0.056 0.500 U
0.475 0.235 0.240 Pa
0.995 0.235 0.760 Pa
0.191 0.551 0.640 Se
0.257 0.938 0.318 Se
0.319 0.319 0.000 Se
0.611 0.723 0.888 Se
0.620 0.938 0.682 Se
0.835 0.723 0.112 Se
0.911 0.551 0.360 Se
```

***

Record 7
Entry from the Open Quantum Materials Database: crystalline HoZrCS at its relaxed geometry (PBE).

Results
energy above the lowest structure with this stoichiometry = 0.9 kJ/mol of atoms
space-group type = P-6m2

The structure in POSCAR format:
```
HoZrCS
1.0
3.533 0.000 0.000
-1.766 3.059 0.000
0.000 0.000 12.582
Ho Zr C S
2 2 2 2
direct
0.000 0.000 0.150 Ho
0.000 0.000 0.850 Ho
0.333 0.667 0.356 Zr
0.333 0.667 0.644 Zr
0.667 0.333 0.264 C
0.667 0.333 0.736 C
0.000 0.000 0.500 S
0.333 0.667 0.000 S
```

***

Record 8
Entry from the Open Quantum Materials Database: crystalline ZnBr2 at its relaxed geometry (PBE).

Results
space-group type = P-1
energy = -28.9 eV for the cell shown

The structure in POSCAR format:
```
ZnBr2
1.0
6.707 0.000 0.000
-0.207 7.702 0.000
-0.237 -0.687 7.753
Zn Br
4 8
direct
0.158 0.232 0.349 Zn
0.330 0.733 0.350 Zn
0.670 0.267 0.650 Zn
0.842 0.768 0.651 Zn
0.206 0.728 0.638 Br
0.208 0.957 0.172 Br
0.268 0.458 0.168 Br
0.303 0.229 0.637 Br
0.697 0.771 0.363 Br
0.732 0.542 0.832 Br
0.792 0.043 0.828 Br
0.794 0.272 0.362 Br
```